Here is crystalline Cd5InAg at its relaxed geometry from the Alexandria database. Energies are from PBE. Values from VASP.

Results
ΔH_f (0 K)   0.040 eV per atom
Symmetry   Imma
E   -19.8 eV for the cell shown
DOS at the Fermi energy   0.22 states/eV per atom

Cell and atoms, written as Quantum ESPRESSO input:
```
&SYSTEM
  ibrav = 0, nat = 14, ntyp = 3
/
ATOMIC_SPECIES
Cd 112.41 Cd.upf
In 114.82 In.upf
Ag 107.87 Ag.upf
ATOMIC_POSITIONS crystal
Cd 0.238 0.282 0.544
Cd 0.238 0.694 0.956
Cd 0.245 0.000 0.745
Cd 0.245 0.500 0.245
Cd 0.497 0.247 0.250
Cd 0.503 0.753 0.750
Cd 0.755 0.000 0.255
Cd 0.755 0.500 0.755
Cd 0.762 0.306 0.044
Cd 0.762 0.718 0.456
In 0.000 0.000 0.000
In 0.500 0.000 0.500
Ag 0.020 0.770 0.250
Ag 0.980 0.230 0.750
CELL_PARAMETERS angstrom
-3.552 4.667 5.013
3.552 -4.667 5.013
3.552 4.667 -5.013
```



Here is crystalline CdIn2Ag2 at its relaxed geometry from the Alexandria database. Energies are from PBE. Values from VASP.

Results
ΔH_f (0 K)   0.012 eV per atom
Symmetry   C2/c
E   -24.1 eV for the cell shown
DOS at the Fermi energy   0.26 states/eV per atom

Cell and atoms, written as Quantum ESPRESSO input:
```
&SYSTEM
  ibrav = 0, nat = 10, ntyp = 3
/
ATOMIC_SPECIES
Cd 112.41 Cd.upf
In 114.82 In.upf
Ag 107.87 Ag.upf
ATOMIC_POSITIONS crystal
Cd 0.241 0.759 0.750
Cd 0.759 0.241 0.250
In 0.207 0.434 0.349
In 0.434 0.207 0.849
In 0.566 0.793 0.151
In 0.793 0.566 0.651
Ag 0.064 0.727 0.051
Ag 0.273 0.936 0.449
Ag 0.727 0.064 0.551
Ag 0.936 0.273 0.949
CELL_PARAMETERS angstrom
5.036 -3.079 0.000
5.036 3.079 0.000
-2.768 0.000 7.074
```



Here is crystalline Cd5InAg6 at its relaxed geometry from the Alexandria database. Energies are from PBE. Values from VASP.

Results
ΔH_f (0 K)   -0.038 eV per atom
Symmetry   C2/m
E   -24.9 eV for the cell shown
DOS at the Fermi energy   0.25 states/eV per atom

Cell and atoms, written as Quantum ESPRESSO input:
```
&SYSTEM
  ibrav = 0, nat = 12, ntyp = 3
/
ATOMIC_SPECIES
Cd 112.41 Cd.upf
In 114.82 In.upf
Ag 107.87 Ag.upf
ATOMIC_POSITIONS crystal
Cd 0.000 0.000 0.000
Cd 0.331 0.669 0.500
Cd 0.334 0.666 0.000
Cd 0.666 0.334 0.000
Cd 0.669 0.331 0.500
In 0.000 0.000 0.500
Ag 0.167 0.833 0.248
Ag 0.167 0.833 0.752
Ag 0.500 0.500 0.249
Ag 0.500 0.500 0.751
Ag 0.833 0.167 0.248
Ag 0.833 0.167 0.752
CELL_PARAMETERS angstrom
2.320 -6.974 0.000
2.320 6.974 0.000
-0.025 0.000 7.252
```



Here is crystalline CdIn3Ag at its relaxed geometry from the Alexandria database. Energies are from PBE. Values from VASP.

Results
ΔH_f (0 K)   0.244 eV per atom
Symmetry   Pm-3m
E   -10.8 eV for the cell shown
DOS at the Fermi energy   0.69 states/eV per atom

Cell and atoms, written as Quantum ESPRESSO input:
```
&SYSTEM
  ibrav = 0, nat = 5, ntyp = 3
/
ATOMIC_SPECIES
Cd 112.41 Cd.upf
In 114.82 In.upf
Ag 107.87 Ag.upf
ATOMIC_POSITIONS crystal
Cd 0.000 0.000 0.000
In 0.000 0.500 0.500
In 0.500 0.000 0.500
In 0.500 0.500 0.000
Ag 0.500 0.500 0.500
CELL_PARAMETERS angstrom
5.383 0.000 0.000
0.000 5.383 0.000
0.000 0.000 5.383
```



Here is crystalline Cd5In2Ag5 at its relaxed geometry from the Alexandria database. Energies are from PBE. Values from VASP.

Results
ΔH_f (0 K)   0.004 eV per atom
Symmetry   C2/m
E   -24.3 eV for the cell shown
DOS at the Fermi energy   0.26 states/eV per atom

Cell and atoms, written as Quantum ESPRESSO input:
```
&SYSTEM
  ibrav = 0, nat = 12, ntyp = 3
/
ATOMIC_SPECIES
Cd 112.41 Cd.upf
In 114.82 In.upf
Ag 107.87 Ag.upf
ATOMIC_POSITIONS crystal
Cd 0.000 0.000 0.000
Cd 0.098 0.098 0.761
Cd 0.164 0.164 0.502
Cd 0.836 0.836 0.498
Cd 0.902 0.902 0.239
In 0.416 0.416 0.751
In 0.584 0.584 0.249
Ag 0.247 0.247 0.249
Ag 0.331 0.331 0.999
Ag 0.500 0.500 0.500
Ag 0.669 0.669 0.001
Ag 0.753 0.753 0.751
CELL_PARAMETERS angstrom
6.545 -2.138 0.000
6.545 2.138 0.000
-3.858 0.000 8.790
```



Here is crystalline Cd4InAg at its relaxed geometry from the Alexandria database. Energies are from PBE. Values from VASP.

Results
ΔH_f (0 K)   0.017 eV per atom
Symmetry   C2/c
E   -18.3 eV for the cell shown
DOS at the Fermi energy   0.26 states/eV per atom

Cell and atoms, written as Quantum ESPRESSO input:
```
&SYSTEM
  ibrav = 0, nat = 12, ntyp = 3
/
ATOMIC_SPECIES
Cd 112.41 Cd.upf
In 114.82 In.upf
Ag 107.87 Ag.upf
ATOMIC_POSITIONS crystal
Cd 0.085 0.704 0.945
Cd 0.174 0.409 0.625
Cd 0.296 0.915 0.555
Cd 0.409 0.174 0.125
Cd 0.591 0.826 0.875
Cd 0.704 0.085 0.445
Cd 0.826 0.591 0.375
Cd 0.915 0.296 0.055
In 0.407 0.593 0.250
In 0.593 0.407 0.750
Ag 0.001 0.999 0.250
Ag 0.999 0.001 0.750
CELL_PARAMETERS angstrom
3.989 -6.306 0.000
3.989 6.306 0.000
-2.039 0.000 5.426
```